A | # Cd2AsPb GGA-PBE relaxed
# Space group ... C2/m
# V ... 100.14 Å³/f.u.
# Crystal system ... monoclinic
data_Cd2AsPb
_cell_length_a 5.541
_cell_length_b 5.541
_cell_length_c 5.666
_cell_angle_alpha 71.07
_cell_angle_beta 71.07
_cell_angle_gamma 37.79
_space_group_name_H-M_alt 'P 1'
_space_group_IT_number 1
loop_
_space_group_symop_operation_xyz
'x,y,z'
loop_
_atom_site_label
_atom_site_fract_x
_atom_site_fract_y
_atom_site_fract_z
_atom_site_occupancy
Pb1 0.750 0.750 0.750 1
As1 0.250 0.250 0.250 1
Cd1 0.979 0.979 0.028 1
Cd2 0.521 0.521 0.472 1

=====

B | # Cd2AsPb GGA-PBE relaxed
# Space group ... Pm
# V ... 100.36 Å³/f.u.
# Crystal system ... monoclinic
data_Cd2AsPb
_cell_length_a 4.226
_cell_length_b 3.282
_cell_length_c 7.388
_cell_angle_alpha 78.38
_cell_angle_beta 90.00
_cell_angle_gamma 90.00
_space_group_name_H-M_alt 'P 1'
_space_group_IT_number 1
loop_
_space_group_symop_operation_xyz
'x,y,z'
loop_
_atom_site_label
_atom_site_fract_x
_atom_site_fract_y
_atom_site_fract_z
_atom_site_occupancy
Pb1 0.000 0.712 0.483 1
As1 0.500 0.513 0.811 1
Cd1 0.000 0.940 0.982 1
Cd2 0.500 0.335 0.224 1

=====

C | # Cd2AsPb GGA-PBE relaxed
# Space group ... I-42d
# V ... 103.54 Å³/f.u.
# Crystal system ... tetragonal
data_Cd2AsPb
_cell_length_a 8.105
_cell_length_b 8.105
_cell_length_c 6.541
_cell_angle_alpha 51.72
_cell_angle_beta 51.72
_cell_angle_gamma 90.00
_space_group_name_H-M_alt 'P 1'
_space_group_IT_number 1
loop_
_space_group_symop_operation_xyz
'x,y,z'
loop_
_atom_site_label
_atom_site_fract_x
_atom_site_fract_y
_atom_site_fract_z
_atom_site_occupancy
Pb1 0.000 0.000 0.000 1
Pb2 0.750 0.250 0.500 1
As1 0.500 0.500 0.000 1
As2 0.250 0.750 0.500 1
Cd1 0.582 0.125 0.250 1
Cd2 0.168 0.625 0.250 1
Cd3 0.375 0.418 0.750 1
Cd4 0.875 0.832 0.750 1

=====

D | # Cd2AsPb GGA-PBE relaxed
# Space group ... Fm-3m
# V ... 98.73 Å³/f.u.
# Crystal system ... cubic
data_Cd2AsPb
_cell_length_a 5.188
_cell_length_b 5.188
_cell_length_c 5.188
_cell_angle_alpha 60.00
_cell_angle_beta 60.00
_cell_angle_gamma 60.00
_space_group_name_H-M_alt 'P 1'
_space_group_IT_number 1
loop_
_space_group_symop_operation_xyz
'x,y,z'
loop_
_atom_site_label
_atom_site_fract_x
_atom_site_fract_y
_atom_site_fract_z
_atom_site_occupancy
Pb1 0.500 0.500 0.500 1
As1 0.000 0.000 0.000 1
Cd1 0.250 0.250 0.250 1
Cd2 0.750 0.750 0.750 1

=====

D is the least stable structure shown above.